Entry from the Alexandria database: an optimized crystal structure of Rb2MnFeCl6 (GGA-PBE).

Results
**ΔE_f (raw)**: -1330.4 meV per atom
**M_tot**: 0.10 μB/atom
**Electronic total energy**: -4.40 eV per atom

The structure in CIF format:
```
data_Rb2MnFeCl6
_symmetry_space_group_name_H-M 'C 1 2/m 1'
_symmetry_Int_Tables_number 12
_cell_length_a 12.2889
_cell_length_b 7.0960
_cell_length_c 7.0948
_cell_angle_alpha 90.00
_cell_angle_beta 125.27
_cell_angle_gamma 90.00
loop_
_symmetry_equiv_pos_as_xyz
'x,y,z'
'-x,-y,-z'
'-x,y,-z'
'x,-y,z'
'x+1/2,y+1/2,z'
'-x+1/2,-y+1/2,-z'
'-x+1/2,y+1/2,-z'
'x+1/2,-y+1/2,z'
loop_
_atom_site_label
_atom_site_type_symbol
_atom_site_fract_x
_atom_site_fract_y
_atom_site_fract_z
Rb1 Rb 0.2503 0.0000 0.2503
Mn1 Mn 0.0000 0.0000 0.5000
Fe1 Fe 0.0000 0.5000 0.0000
Cl1 Cl 0.0012 0.2518 0.7529
Cl2 Cl 0.2482 0.5000 0.2500
```

Entry from the Alexandria database: an optimized crystal structure of La2PmPrSm (GGA-PBE).

Results
**E_form**: 34.0 meV/atom
**M_tot**: 0.00 μB/atom
**Electronic total energy**: -4.79 eV per atom

The structure in CIF format:
```
data_La2PmPrSm
_symmetry_space_group_name_H-M 'P 1 21/m 1'
_symmetry_Int_Tables_number 11
_cell_length_a 6.4808
_cell_length_b 5.9843
_cell_length_c 9.8764
_cell_angle_alpha 90.00
_cell_angle_beta 109.06
_cell_angle_gamma 90.00
loop_
_symmetry_equiv_pos_as_xyz
'x,y,z'
'-x,-y,-z'
'-x,y+1/2,-z'
'x,-y+1/2,z'
loop_
_atom_site_label
_atom_site_type_symbol
_atom_site_fract_x
_atom_site_fract_y
_atom_site_fract_z
La1 La 0.0688 0.2500 0.3028
La2 La 0.1362 0.7500 0.0989
Pm1 Pm 0.2645 0.2500 0.6974
Pr1 Pr 0.4670 0.2500 0.1023
Sm1 Sm 0.3359 0.7500 0.4992
```

Entry from the Alexandria database: an optimized crystal structure of K2DyUSe4 (GGA-PBE).

Results
**ΔE_f (raw)**: -1481.1 meV per atom
**M_tot**: 0.38 μB/atom
**Electronic total energy**: -5.48 eV per atom

The structure in CIF format:
```
data_K2DyUSe4
_symmetry_space_group_name_H-M 'P 1 2/m 1'
_symmetry_Int_Tables_number 10
_cell_length_a 7.3165
_cell_length_b 4.2220
_cell_length_c 8.0854
_cell_angle_alpha 90.00
_cell_angle_beta 107.53
_cell_angle_gamma 90.00
loop_
_symmetry_equiv_pos_as_xyz
'x,y,z'
'-x,-y,-z'
'-x,y,-z'
'x,-y,z'
loop_
_atom_site_label
_atom_site_type_symbol
_atom_site_fract_x
_atom_site_fract_y
_atom_site_fract_z
K1 K 0.0000 0.0000 0.0000
K2 K 0.5000 0.5000 0.0000
Dy1 Dy 0.0000 0.5000 0.5000
U1 U 0.5000 0.0000 0.5000
Se1 Se 0.2332 0.0000 0.7065
Se2 Se 0.2621 0.5000 0.2925
```

Entry from the Alexandria database: an optimized crystal structure of Ti2MoOs (GGA-PBE).

Results
**E_form**: 297.1 meV/atom
**M_tot**: 0.00 μB/atom
**Electronic total energy**: -9.17 eV per atom

The structure in CIF format:
```
data_Ti2MoOs
_symmetry_space_group_name_H-M 'I -4 2 d'
_symmetry_Int_Tables_number 122
_symmetry_space_group_name_Hall 'I -4 2bw'
_cell_length_a 7.0154
_cell_length_b 7.0154
_cell_length_c 5.3851
_cell_angle_alpha 90.00
_cell_angle_beta 90.00
_cell_angle_gamma 90.00
loop_
_atom_site_label
_atom_site_type_symbol
_atom_site_fract_x
_atom_site_fract_y
_atom_site_fract_z
Ti1 Ti 0.2352 0.2500 0.1250
Mo1 Mo 0.0000 0.0000 0.5000
Os1 Os 0.0000 0.0000 0.0000
```

Entry from the Alexandria database: an optimized crystal structure of RbTl11In (GGA-PBE).

Results
**E_form**: -10.9 meV/atom
**M_tot**: 0.00 μB/atom
**Electronic total energy**: -2.30 eV per atom

The structure in CIF format:
```
data_RbTl11In
_symmetry_space_group_name_H-M 'C 1 2/m 1'
_symmetry_Int_Tables_number 12
_cell_length_a 6.5675
_cell_length_b 16.0979
_cell_length_c 8.6897
_cell_angle_alpha 90.00
_cell_angle_beta 111.33
_cell_angle_gamma 90.00
loop_
_symmetry_equiv_pos_as_xyz
'x,y,z'
'-x,-y,-z'
'-x,y,-z'
'x,-y,z'
'x+1/2,y+1/2,z'
'-x+1/2,-y+1/2,-z'
'-x+1/2,y+1/2,-z'
'x+1/2,-y+1/2,z'
loop_
_atom_site_label
_atom_site_type_symbol
_atom_site_fract_x
_atom_site_fract_y
_atom_site_fract_z
Rb1 Rb 0.0000 0.0000 0.0000
Tl1 Tl 0.0000 0.0000 0.5000
Tl2 Tl 0.1045 0.3933 0.2178
Tl3 Tl 0.1837 0.1777 0.3598
Tl4 Tl 0.2500 0.2500 0.0000
In1 In 0.0000 0.5000 0.5000
```

Entry from the Alexandria database: an optimized crystal structure of Pr4Dy2Ho5 (GGA-PBE).

Results
**E above lowest polymorph**: 0.00 eV per formula unit
**E_form**: 106.6 meV/atom
**M_tot**: 0.00 μB/atom
**Electronic total energy**: -4.55 eV per atom

The structure in CIF format:
```
data_Pr4Dy2Ho5
_symmetry_space_group_name_H-M 'C 1 2/m 1'
_symmetry_Int_Tables_number 12
_cell_length_a 19.2198
_cell_length_b 5.6804
_cell_length_c 6.6733
_cell_angle_alpha 90.00
_cell_angle_beta 90.78
_cell_angle_gamma 90.00
loop_
_symmetry_equiv_pos_as_xyz
'x,y,z'
'-x,-y,-z'
'-x,y,-z'
'x,-y,z'
'x+1/2,y+1/2,z'
'-x+1/2,-y+1/2,-z'
'-x+1/2,y+1/2,-z'
'x+1/2,-y+1/2,z'
loop_
_atom_site_label
_atom_site_type_symbol
_atom_site_fract_x
_atom_site_fract_y
_atom_site_fract_z
Pr1 Pr 0.0205 0.0000 0.2872
Pr2 Pr 0.1938 0.5000 0.0736
Dy1 Dy 0.0981 0.5000 0.5555
Ho1 Ho 0.0000 0.5000 0.0000
Ho2 Ho 0.1304 0.0000 0.8884
Ho3 Ho 0.2091 0.0000 0.4021
```

Entry from the Alexandria database: an optimized crystal structure of Sc2IrRh (GGA-PBE).

Results
**E above lowest polymorph**: 1.31 eV per formula unit
**E_form**: -712.8 meV/atom
**M_tot**: 0.00 μB/atom
**Electronic total energy**: -7.93 eV per atom

The structure in CIF format:
```
data_Sc2IrRh
_symmetry_space_group_name_H-M 'P m m 2'
_symmetry_Int_Tables_number 25
_cell_length_a 3.0527
_cell_length_b 4.2936
_cell_length_c 5.3802
_cell_angle_alpha 90.00
_cell_angle_beta 90.00
_cell_angle_gamma 90.00
loop_
_symmetry_equiv_pos_as_xyz
'x,y,z'
'-x,-y,z'
'-x,y,z'
'x,-y,z'
loop_
_atom_site_label
_atom_site_type_symbol
_atom_site_fract_x
_atom_site_fract_y
_atom_site_fract_z
Sc1 Sc 0.0000 0.0000 0.0000
Sc2 Sc 0.5000 0.5000 0.3542
Ir1 Ir 0.0000 0.0000 0.4980
Rh1 Rh 0.5000 0.5000 0.8506
```

Entry from the Alexandria database: an optimized crystal structure of Ni3IrRh2 (GGA-PBE).

Results
**E above lowest polymorph**: 1.57 eV per formula unit
**E_form**: 415.3 meV/atom
**M_tot**: 0.03 μB/atom
**Electronic total energy**: -6.40 eV per atom

The structure in CIF format:
```
data_Ni3IrRh2
_symmetry_space_group_name_H-M 'C m c m'
_symmetry_Int_Tables_number 63
_symmetry_space_group_name_Hall '-C 2c 2'
_cell_length_a 9.6591
_cell_length_b 8.3977
_cell_length_c 4.0923
_cell_angle_alpha 90.00
_cell_angle_beta 90.00
_cell_angle_gamma 90.00
loop_
_atom_site_label
_atom_site_type_symbol
_atom_site_fract_x
_atom_site_fract_y
_atom_site_fract_z
Ni1 Ni 0.0000 0.0624 0.2500
Ni2 Ni 0.2326 0.1528 0.2500
Ir1 Ir 0.0000 0.2375 0.7500
Rh1 Rh 0.1268 0.4081 0.2500
```

Entry from the Alexandria database: an optimized crystal structure of Mn5BeRh6 (GGA-PBE).

Results
**E_form**: -219.0 meV/atom
**M_tot**: 1.62 μB/atom
**Electronic total energy**: -8.03 eV per atom

The structure in CIF format:
```
data_Mn5BeRh6
_symmetry_space_group_name_H-M 'I m m m'
_symmetry_Int_Tables_number 71
_symmetry_space_group_name_Hall '-I 2 2'
_cell_length_a 4.2350
_cell_length_b 6.0024
_cell_length_c 12.6845
_cell_angle_alpha 90.00
_cell_angle_beta 90.00
_cell_angle_gamma 90.00
loop_
_atom_site_label
_atom_site_type_symbol
_atom_site_fract_x
_atom_site_fract_y
_atom_site_fract_z
Mn1 Mn 0.0000 0.0000 0.0000
Mn2 Mn 0.0000 0.0000 0.3336
Mn3 Mn 0.0000 0.5000 0.3352
Be1 Be 0.0000 0.5000 0.0000
Rh1 Rh 0.0000 0.2414 0.5000
Rh2 Rh 0.0000 0.2549 0.1643
```

Entry from the Alexandria database: an optimized crystal structure of BeNbP2Cl (GGA-PBE).

Results
**E above lowest polymorph**: 0.16 eV per formula unit
**ΔE_f (raw)**: 561.1 meV per atom
**M_tot**: 0.00 μB/atom
**Electronic total energy**: -4.73 eV per atom

The structure in CIF format:
```
data_BeNbP2Cl
_symmetry_space_group_name_H-M 'P 4/m m m'
_symmetry_Int_Tables_number 123
_symmetry_space_group_name_Hall '-P 4 2'
_cell_length_a 4.8547
_cell_length_b 4.8547
_cell_length_c 4.8436
_cell_angle_alpha 90.00
_cell_angle_beta 90.00
_cell_angle_gamma 90.00
loop_
_atom_site_label
_atom_site_type_symbol
_atom_site_fract_x
_atom_site_fract_y
_atom_site_fract_z
Be1 Be 0.0000 0.0000 0.0000
Nb1 Nb 0.5000 0.5000 0.5000
P1 P 0.0000 0.5000 0.5000
Cl1 Cl 0.5000 0.5000 0.0000
```

Entry from the Alexandria database: an optimized crystal structure of Ba3In4 (GGA-PBE).

Results
**E above lowest polymorph**: 0.00 eV per formula unit
**E_form**: -406.5 meV/atom
**M_tot**: 0.00 μB/atom
**Electronic total energy**: -2.80 eV per atom

The structure in CIF format:
```
data_Ba3In4
_symmetry_space_group_name_H-M 'I m m m'
_symmetry_Int_Tables_number 71
_symmetry_space_group_name_Hall '-I 2 2'
_cell_length_a 4.6293
_cell_length_b 5.1334
_cell_length_c 22.8147
_cell_angle_alpha 90.00
_cell_angle_beta 90.00
_cell_angle_gamma 90.00
loop_
_atom_site_label
_atom_site_type_symbol
_atom_site_fract_x
_atom_site_fract_y
_atom_site_fract_z
Ba1 Ba 0.0000 0.0000 0.0000
Ba2 Ba 0.0000 0.5000 0.1876
In1 In 0.0000 0.0000 0.4354
In2 In 0.0000 0.5000 0.3626
```